This record from the Alexandria database describes a relaxed structure of Pr4AlBr5. The functional is PBE.

Lattice parameters (Å, degrees): 19.221 4.192 8.941 90.00 103.40 90.00
Space group C2/m (No. 12)
Symmetry-distinct sites (fractional):
Pr (0.000, 0.000, 0.236) x4
Pr (0.155, 0.500, 0.084) x4
Al (0.000, 0.500, 0.000) x2
Br (0.000, 0.500, 0.500) x2
Br (0.167, 0.000, 0.331) x4
Br (0.171, 0.000, 0.844) x4

uncorrected formation energy: -1.362 eV/atom

=====

This record from the Alexandria database describes a relaxed structure of Pr6AlSi2Br3. The functional is PBE.

Lattice parameters (Å, degrees): 19.407 4.255 9.033 90.00 105.12 90.00
Space group C2/m (No. 12)
Symmetry-distinct sites (fractional):
Pr (0.009, 0.000, 0.245) x4
Pr (0.162, 0.500, 0.109) x4
Pr (0.176, 0.500, 0.564) x4
Al (0.000, 0.500, 0.000) x2
Si (0.167, 0.000, 0.335) x4
Br (0.000, 0.500, 0.500) x2
Br (0.167, 0.000, 0.833) x4

uncorrected formation energy: -0.952 eV/atom

=====

This record from the Alexandria database describes a relaxed structure of PrAlSiBr. The functional is PBE.

Lattice parameters (Å, degrees): 4.2378 4.2378 42.5263 90.00 90.00 120.00
Space group R-3m (No. 166, hexagonal axes)
Symmetry-distinct sites (fractional):
Pr (0.0000, 0.0000, 0.0791) x6
Al (0.0000, 0.0000, 0.3106) x6
Si (0.0000, 0.0000, 0.3701) x6
Br (0.0000, 0.0000, 0.2108) x6

uncorrected formation energy: -0.906 eV/atom

=====

This record from the Alexandria database describes a relaxed structure of Pr4AlTe2Br. The functional is PBE.

Lattice parameters (Å, degrees): 7.769 4.401 7.797 90.00 108.63 90.00
Space group P2/m (No. 10)
Symmetry-distinct sites (fractional):
Pr (0.237, 0.000, 0.236) x2
Pr (0.237, 0.500, 0.759) x2
Al (0.000, 0.500, 0.000) x1
Te (0.000, 0.000, 0.500) x1
Te (0.500, 0.500, 0.500) x1
Br (0.500, 0.000, 0.000) x1

uncorrected formation energy: -1.099 eV/atom

=====

This record from the Alexandria database describes a relaxed structure of AlPtBr3. The functional is PBE.

Lattice parameters (Å, degrees): 5.038 5.038 5.038 90.00 90.00 90.00
Space group Pm-3m (No. 221)
Symmetry-distinct sites (fractional):
Al (0.000, 0.000, 0.000) x1
Pt (0.500, 0.500, 0.500) x1
Br (0.000, 0.000, 0.500) x3

ΔE to the lowest computed polymorph: 1.551 eV/f.u.
uncorrected formation energy: 0.296 eV/atom

=====

This record from the Alexandria database describes a relaxed structure of Al3PtBr. The functional is PBE.

Lattice parameters (Å, degrees): 4.901 4.901 4.901 90.00 90.00 90.00
Space group Pm-3m (No. 221)
Symmetry-distinct sites (fractional):
Al (0.000, 0.000, 0.500) x3
Pt (0.500, 0.500, 0.500) x1
Br (0.000, 0.000, 0.000) x1

ΔE to the lowest computed polymorph: 7.922 eV/f.u.
uncorrected formation energy: 1.049 eV/atom

=====

This record from the Alexandria database describes a relaxed structure of Al3PtBr. The functional is PBE.

Lattice parameters (Å, degrees): 4.848 4.848 4.848 90.00 90.00 90.00
Space group Pm-3m (No. 221)
Symmetry-distinct sites (fractional):
Al (0.000, 0.000, 0.500) x3
Pt (0.000, 0.000, 0.000) x1
Br (0.500, 0.500, 0.500) x1

ΔE to the lowest computed polymorph: 0.000 eV/f.u.
uncorrected formation energy: -0.535 eV/atom

=====

This record from the Alexandria database describes a relaxed structure of AlPtBr3. The functional is PBE.

Lattice parameters (Å, degrees): 5.198 5.198 5.198 90.00 90.00 90.00
Space group Pm-3m (No. 221)
Symmetry-distinct sites (fractional):
Al (0.000, 0.000, 0.000) x1
Pt (0.500, 0.500, 0.500) x1
Br (0.000, 0.500, 0.500) x3

ΔE to the lowest computed polymorph: 0.000 eV/f.u.
uncorrected formation energy: -0.014 eV/atom

=====

This record from the Alexandria database describes a relaxed structure of AlPt3Br. The functional is PBE.

Lattice parameters (Å, degrees): 4.664 4.664 4.664 90.00 90.00 90.00
Space group Pm-3m (No. 221)
Symmetry-distinct sites (fractional):
Al (0.000, 0.000, 0.000) x1
Pt (0.000, 0.000, 0.500) x3
Br (0.500, 0.500, 0.500) x1

ΔE to the lowest computed polymorph: 0.000 eV/f.u.
uncorrected formation energy: 0.572 eV/atom

=====

This record from the Alexandria database describes a relaxed structure of RbAlPtBr2. The functional is PBE.

Lattice parameters (Å, degrees): 5.258 5.258 6.053 90.00 90.00 90.00
Space group P4/mmm (No. 123)
Symmetry-distinct sites (fractional):
Rb (0.000, 0.000, 0.000) x1
Al (0.500, 0.500, 0.000) x1
Pt (0.000, 0.000, 0.500) x1
Br (0.000, 0.500, 0.500) x2

uncorrected formation energy: 0.116 eV/atom

=====

This record from the Alexandria database describes a relaxed structure of AlPtSe2Br. The functional is PBE.

Lattice parameters (Å, degrees): 4.943 4.943 4.704 90.00 90.00 90.00
Space group P4/mmm (No. 123)
Symmetry-distinct sites (fractional):
Al (0.000, 0.000, 0.000) x1
Pt (0.500, 0.500, 0.500) x1
Se (0.000, 0.500, 0.000) x2
Br (0.000, 0.000, 0.500) x1

ΔE to the lowest computed polymorph: 0.970 eV/f.u.
uncorrected formation energy: 0.491 eV/atom

=====

This record from the Alexandria database describes a relaxed structure of AlPtSeBr2. The functional is PBE.

Lattice parameters (Å, degrees): 5.323 5.323 4.848 90.00 90.00 90.00
Space group P4/mmm (No. 123)
Symmetry-distinct sites (fractional):
Al (0.000, 0.000, 0.000) x1
Pt (0.500, 0.500, 0.500) x1
Se (0.500, 0.500, 0.000) x1
Br (0.000, 0.500, 0.500) x2

ΔE to the lowest computed polymorph: 0.000 eV/f.u.
uncorrected formation energy: 0.143 eV/atom

=====

This record from the Alexandria database describes a relaxed structure of AlPtSeBr2. The functional is PBE.

Lattice parameters (Å, degrees): 4.797 4.797 5.288 90.00 90.00 90.00
Space group P4/mmm (No. 123)
Symmetry-distinct sites (fractional):
Al (0.000, 0.000, 0.000) x1
Pt (0.500, 0.500, 0.500) x1
Se (0.000, 0.000, 0.500) x1
Br (0.000, 0.500, 0.000) x2

ΔE to the lowest computed polymorph: 1.188 eV/f.u.
uncorrected formation energy: 0.381 eV/atom

=====

This record from the Alexandria database describes a relaxed structure of AlPtSe2Br. The functional is PBE.

Lattice parameters (Å, degrees): 4.980 4.980 5.248 90.00 90.00 90.00
Space group P4/mmm (No. 123)
Symmetry-distinct sites (fractional):
Al (0.000, 0.000, 0.000) x1
Pt (0.500, 0.500, 0.500) x1
Se (0.000, 0.500, 0.500) x2
Br (0.500, 0.500, 0.000) x1

ΔE to the lowest computed polymorph: 0.000 eV/f.u.
uncorrected formation energy: 0.297 eV/atom

=====

This record from the Alexandria database describes a relaxed structure of Pu2AlBr. The functional is PBE.

Lattice parameters (Å, degrees): 3.324 3.324 8.672 90.00 90.00 90.00
Space group P4/mmm (No. 123)
Symmetry-distinct sites (fractional):
Pu (0.000, 0.000, 0.242) x2
Al (0.500, 0.500, 0.000) x1
Br (0.500, 0.500, 0.500) x1

uncorrected formation energy: -0.437 eV/atom

=====

This record from the Alexandria database describes a relaxed structure of RbAl2Br2. The functional is PBE.

Lattice parameters (Å, degrees): 5.865 5.865 10.014 90.00 90.00 90.00
Space group I4/mmm (No. 139)
Symmetry-distinct sites (fractional):
Rb (0.000, 0.000, 0.000) x2
Al (0.000, 0.000, 0.352) x4
Br (0.000, 0.500, 0.250) x4

ΔE to the lowest computed polymorph: 1.685 eV/f.u.
uncorrected formation energy: -0.280 eV/atom

=====

This record from the Alexandria database describes a relaxed structure of RbAlBr4. The functional is PBE.

Lattice parameters (Å, degrees): 9.175 10.629 12.170 90.00 125.19 90.00
Space group P2_1/c (No. 14)
Symmetry-distinct sites (fractional):
Rb (0.184, 0.167, 0.276) x4
Al (0.300, 0.673, 0.196) x4
Br (0.097, 0.660, 0.618) x4
Br (0.198, 0.516, 0.270) x4
Br (0.320, 0.609, 0.023) x4
Br (0.415, 0.236, 0.128) x4

ΔE to the lowest computed polymorph: 0.000 eV/f.u.
uncorrected formation energy: -1.404 eV/atom

=====

This record from the Alexandria database describes a relaxed structure of Rb3Al5Br12. The functional is PBE.

Lattice parameters (Å, degrees): 18.399 18.399 18.399 90.00 90.00 90.00
Space group Ia-3d (No. 230)
Symmetry-distinct sites (fractional):
Rb (0.000, 0.250, 0.125) x24
Al (0.000, 0.000, 0.000) x16
Al (0.000, 0.250, 0.375) x24
Br (0.044, 0.047, 0.657) x96

uncorrected formation energy: -0.976 eV/atom

=====

This record from the Alexandria database describes a relaxed structure of RbAlBr2. The functional is PBE.

Lattice parameters (Å, degrees): 7.039 7.039 16.070 90.00 90.00 90.00
Space group I-42d (No. 122)
Symmetry-distinct sites (fractional):
Rb (0.000, 0.000, 0.000) x4
Al (0.000, 0.000, 0.500) x4
Br (0.202, 0.250, 0.625) x8

ΔE to the lowest computed polymorph: 0.000 eV/f.u.
uncorrected formation energy: -0.845 eV/atom

=====

This record from the Alexandria database describes a relaxed structure of RbAl2Br2. The functional is PBE.

Lattice parameters (Å, degrees): 8.979 8.979 4.518 90.00 90.00 90.00
Space group P4/mbm (No. 127)
Symmetry-distinct sites (fractional):
Rb (0.000, 0.000, 0.000) x2
Al (0.104, 0.396, 0.500) x4
Br (0.150, 0.650, 0.000) x4

ΔE to the lowest computed polymorph: 1.891 eV/f.u.
uncorrected formation energy: -0.239 eV/atom